1.
## Ba3SrSi (GGA-PBE)

Data for a geometry-optimized Ba3SrSi structure.

abc: 6.5486 6.5486 6.5486
angles: 90.00 90.00 90.00
Fractional positions:
Ba (0.0000, 0.0000, 0.5000)
Ba (0.0000, 0.5000, 0.0000)
Ba (0.5000, 0.0000, 0.0000)
Sr (0.0000, 0.0000, 0.0000)
Si (0.5000, 0.5000, 0.5000)

Summary:
- Symmetry: Pm-3m, No. 221
- Energy relative to the elements, uncorrected: 1.0328 eV/atom
- Total DFT energy (no corrections): -1.542 eV per atom



2.
## BaSr3Si (GGA-PBE)

Data for a geometry-optimized BaSr3Si structure.

abc: 6.2540 6.2540 6.2540
angles: 90.00 90.00 90.00
Fractional positions:
Ba (0.0000, 0.0000, 0.0000)
Sr (0.0000, 0.5000, 0.5000)
Sr (0.5000, 0.0000, 0.5000)
Sr (0.5000, 0.5000, 0.0000)
Si (0.5000, 0.5000, 0.5000)

Summary:
- Symmetry: Pm-3m, No. 221
- Energy relative to the elements, uncorrected: -0.0962 eV/atom
- Total DFT energy (no corrections): -2.574 eV per atom



3.
## Ba3Sr3Si4 (GGA-PBE)

Data for a geometry-optimized Ba3Sr3Si4 structure.

abc: 4.9783 8.2783 8.2783
angles: 88.89 90.00 90.00
Fractional positions:
Ba (0.0000, 0.0000, 0.0000)
Ba (0.5000, 0.3304, 0.8342)
Ba (0.5000, 0.8342, 0.3304)
Sr (0.0000, 0.1650, 0.5022)
Sr (0.0000, 0.5022, 0.1650)
Sr (0.0000, 0.6632, 0.6632)
Si (0.5000, 0.2370, 0.2370)
Si (0.5000, 0.4379, 0.4379)
Si (0.5000, 0.7233, 0.9306)
Si (0.5000, 0.9306, 0.7233)

Summary:
- Symmetry: Amm2, No. 38
- Energy relative to the elements, uncorrected: -0.2910 eV/atom
- Total DFT energy (no corrections): -3.542 eV per atom



4.
## BaSrSi4 (GGA-PBE)

Data for a geometry-optimized BaSrSi4 structure.

abc: 9.1982 6.5666 11.2089
angles: 90.00 90.00 90.00
Fractional positions:
Ba (0.0198, 0.2500, 0.1852)
Ba (0.4802, 0.7500, 0.6852)
Ba (0.5198, 0.2500, 0.3148)
Ba (0.9802, 0.7500, 0.8148)
Sr (0.1408, 0.7500, 0.4068)
Sr (0.3592, 0.2500, 0.9068)
Sr (0.6408, 0.7500, 0.0932)
Sr (0.8592, 0.2500, 0.5932)
Si (0.0956, 0.7500, 0.0970)
Si (0.1856, 0.0667, 0.6480)
Si (0.1856, 0.4333, 0.6480)
Si (0.1970, 0.2500, 0.4615)
Si (0.3030, 0.7500, 0.9615)
Si (0.3144, 0.5667, 0.1480)
Si (0.3144, 0.9333, 0.1480)
Si (0.4044, 0.2500, 0.5970)
Si (0.5956, 0.7500, 0.4030)
Si (0.6856, 0.0667, 0.8520)
Si (0.6856, 0.4333, 0.8520)
Si (0.6970, 0.2500, 0.0385)
Si (0.8030, 0.7500, 0.5385)
Si (0.8144, 0.5667, 0.3520)
Si (0.8144, 0.9333, 0.3520)
Si (0.9044, 0.2500, 0.9030)

Summary:
- Symmetry: Pnma, No. 62
- Energy relative to the elements, uncorrected: -0.3164 eV/atom
- Total DFT energy (no corrections): -4.532 eV per atom



5.
## Ba2SrSi2 (GGA-PBE)

Data for a geometry-optimized Ba2SrSi2 structure.

abc: 9.5874 9.5874 3.6885
angles: 90.00 90.00 90.00
Fractional positions:
Ba (0.1261, 0.3739, 0.0000)
Ba (0.3739, 0.8739, 0.0000)
Ba (0.6261, 0.1261, 0.0000)
Ba (0.8739, 0.6261, 0.0000)
Sr (0.0000, 0.0000, 0.0000)
Sr (0.5000, 0.5000, 0.0000)
Si (0.1731, 0.6731, 0.5000)
Si (0.3269, 0.1731, 0.5000)
Si (0.6731, 0.8269, 0.5000)
Si (0.8269, 0.3269, 0.5000)

Summary:
- Symmetry: P4/mbm, No. 127
- Energy relative to the elements, uncorrected: -0.0383 eV/atom
- Total DFT energy (no corrections): -3.313 eV per atom



6.
## Ba3SrSi (GGA-PBE)

Data for a geometry-optimized Ba3SrSi structure.

abc: 6.5702 6.5702 6.5702
angles: 90.00 90.00 90.00
Fractional positions:
Ba (0.0000, 0.0000, 0.5000)
Ba (0.0000, 0.5000, 0.0000)
Ba (0.5000, 0.0000, 0.0000)
Sr (0.5000, 0.5000, 0.5000)
Si (0.0000, 0.0000, 0.0000)

Summary:
- Symmetry: Pm-3m, No. 221
- Energy relative to the elements, uncorrected: -0.0340 eV/atom
- Total DFT energy (no corrections): -2.609 eV per atom



7.
## BaSrSi (GGA-PBE)

Data for a geometry-optimized BaSrSi structure.

abc: 5.0794 5.0794 5.8695
angles: 90.00 90.00 120.00
Fractional positions:
Ba (0.0000, 0.0000, 0.0000)
Sr (0.3333, 0.6667, 0.4665)
Si (0.6667, 0.3333, 0.2735)

Summary:
- Symmetry: P3m1, No. 156
- Energy relative to the elements, uncorrected: -0.1387 eV/atom
- Total DFT energy (no corrections): -3.148 eV per atom



8.
## BaSrSi4 (GGA-PBE)

Data for a geometry-optimized BaSrSi4 structure.

abc: 7.9213 15.7908 4.9016
angles: 90.00 90.00 90.00
Fractional positions:
Ba (0.1214, 0.1513, 0.0000)
Ba (0.3786, 0.6513, 0.0000)
Ba (0.6214, 0.3487, 0.0000)
Ba (0.8786, 0.8487, 0.0000)
Sr (0.1301, 0.4111, 0.0000)
Sr (0.3699, 0.9111, 0.0000)
Sr (0.6301, 0.0889, 0.0000)
Sr (0.8699, 0.5889, 0.0000)
Si (0.0367, 0.6931, 0.5000)
Si (0.1237, 0.9549, 0.5000)
Si (0.1260, 0.5443, 0.5000)
Si (0.2294, 0.8074, 0.5000)
Si (0.2706, 0.3074, 0.5000)
Si (0.3740, 0.0443, 0.5000)
Si (0.3763, 0.4549, 0.5000)
Si (0.4633, 0.1931, 0.5000)
Si (0.5367, 0.8069, 0.5000)
Si (0.6237, 0.5451, 0.5000)
Si (0.6260, 0.9557, 0.5000)
Si (0.7294, 0.6926, 0.5000)
Si (0.7706, 0.1926, 0.5000)
Si (0.8740, 0.4557, 0.5000)
Si (0.8763, 0.0451, 0.5000)
Si (0.9633, 0.3069, 0.5000)

Summary:
- Symmetry: Pbam, No. 55
- Energy relative to the elements, uncorrected: -0.2538 eV/atom
- Total DFT energy (no corrections): -4.470 eV per atom



9.
## Ba2SrSi2 (GGA-PBE)

Data for a geometry-optimized Ba2SrSi2 structure.

abc: 5.0597 5.0597 13.8052
angles: 90.00 90.00 90.00
Fractional positions:
Ba (0.0000, 0.5000, 0.2500)
Ba (0.0000, 0.5000, 0.7500)
Ba (0.5000, 0.0000, 0.2500)
Ba (0.5000, 0.0000, 0.7500)
Sr (0.0000, 0.0000, 0.0000)
Sr (0.5000, 0.5000, 0.5000)
Si (0.0000, 0.0000, 0.4164)
Si (0.0000, 0.0000, 0.5836)
Si (0.5000, 0.5000, 0.0836)
Si (0.5000, 0.5000, 0.9164)

Summary:
- Symmetry: I4/mmm, No. 139
- Energy relative to the elements, uncorrected: -0.1027 eV/atom
- Total DFT energy (no corrections): -3.377 eV per atom



10.
## BaSrSi4 (GGA-PBE)

Data for a geometry-optimized BaSrSi4 structure.

abc: 5.9357 5.9357 5.9357
angles: 60.00 60.00 60.00
Fractional positions:
Ba (0.0000, 0.0000, 0.0000)
Sr (0.2500, 0.2500, 0.2500)
Si (0.0630, 0.6457, 0.6457)
Si (0.6457, 0.0630, 0.6457)
Si (0.6457, 0.6457, 0.0630)
Si (0.6457, 0.6457, 0.6457)

Summary:
- Symmetry: F-43m, No. 216
- Energy relative to the elements, uncorrected: -0.1823 eV/atom
- Total DFT energy (no corrections): -4.398 eV per atom



11.
## BaSr4Si (GGA-PBE)

Data for a geometry-optimized BaSr4Si structure.

abc: 7.4659 7.4659 7.4659
angles: 60.00 60.00 60.00
Fractional positions:
Ba (0.0000, 0.0000, 0.0000)
Sr (0.3761, 0.3761, 0.3761)
Sr (0.3761, 0.3761, 0.8717)
Sr (0.3761, 0.8717, 0.3761)
Sr (0.8717, 0.3761, 0.3761)
Si (0.7500, 0.7500, 0.7500)

Summary:
- Symmetry: F-43m, No. 216
- Energy relative to the elements, uncorrected: 0.4821 eV/atom
- Total DFT energy (no corrections): -1.863 eV per atom



12.
## BaSrSi (GGA-PBE)

Data for a geometry-optimized BaSrSi structure.

abc: 4.3214 7.7545 8.0292
angles: 77.81 74.40 73.96
Fractional positions:
Ba (0.1828, 0.4073, 0.2300)
Ba (0.8172, 0.5927, 0.7700)
Sr (0.4197, 0.8931, 0.2672)
Sr (0.5803, 0.1069, 0.7328)
Si (0.0912, 0.8476, 0.9691)
Si (0.9088, 0.1524, 0.0309)

Summary:
- Symmetry: P-1, No. 2
- Energy relative to the elements, uncorrected: -0.2342 eV/atom
- Total DFT energy (no corrections): -3.243 eV per atom